Entry 1:
Below is a geometry-optimized NbTe2S structure, with properties calculated at the PBE-GGA level.

## Properties
Its magnetization is 0.00 μB/f.u. The value obtained for the uncorrected formation energy is 0.008 eV per atom. The density of states at the Fermi level is 1.143 states/eV per atom.

a b c (Å): 8.989 8.989 8.989
angles (deg): 23.97 23.97 23.97
Positions (direct):
Nb 0.000 0.000 0.000
Te 0.403 0.403 0.403
Te 0.597 0.597 0.597
S 0.500 0.500 0.500


Entry 2:
Below is a geometry-optimized CoIr2Pt structure, with properties calculated at the PBE-GGA level.

## Properties
Its magnetization is 1.60 μB/f.u. The energy above the most stable polymorph in this dataset is 0.000 eV per atom. The density of states at the Fermi level is 1.071 states/eV per atom. The calculation puts the calculated formation energy at 5.5 meV/atom.

a b c (Å): 2.724 2.724 7.539
angles (deg): 90.00 90.00 90.00
Positions (direct):
Co 0.000 0.000 0.000
Ir 0.000 0.000 0.485
Ir 0.500 0.500 0.234
Pt 0.500 0.500 0.756


Entry 3:
Below is a geometry-optimized FeCu5 structure, with properties calculated at the PBE-GGA level.

## Properties
Its magnetization is 3.05 μB/f.u. The density of states at the Fermi level is 0.654 states/eV per atom. The calculation puts the calculated formation energy at 242.6 meV/atom.

a b c (Å): 4.747 4.747 4.747
angles (deg): 60.00 60.00 60.00
Positions (direct):
Fe 0.000 0.000 0.000
Cu 0.375 0.375 0.375
Cu 0.375 0.375 0.875
Cu 0.375 0.875 0.375
Cu 0.750 0.750 0.750
Cu 0.875 0.375 0.375


Entry 4:
Below is a geometry-optimized Zr2ReNi structure, with properties calculated at the PBE-GGA level.

## Properties
Its magnetization is 0.00 μB/f.u. The density of states at the Fermi level is 1.044 states/eV per atom. The calculation puts the calculated formation energy at -90.6 meV/atom.

a b c (Å): 5.544 5.544 4.580
angles (deg): 114.03 114.03 33.84
Positions (direct):
Zr 0.000 0.000 0.000
Zr 0.221 0.221 0.724
Re 0.752 0.752 0.255
Ni 0.457 0.457 0.453


Entry 5:
Below is a geometry-optimized AsC2 structure, with properties calculated at the PBE-GGA level.

## Properties
Its magnetization is 0.00 μB/f.u. The energy above the most stable polymorph in this dataset is 0.643 eV per atom. The density of states at the Fermi level is 0.000 states/eV per atom. The calculation puts the calculated formation energy at 994.1 meV/atom.

a b c (Å): 6.130 6.130 7.064
angles (deg): 97.52 97.52 30.30
Positions (direct):
As 0.109 0.109 0.330
As 0.891 0.891 0.670
C 0.021 0.021 0.084
C 0.466 0.466 0.568
C 0.534 0.534 0.432
C 0.979 0.979 0.916


Entry 6:
Below is a geometry-optimized ThAlOsN structure, with properties calculated at the PBE-GGA level.

## Properties
Its magnetization is 0.00 μB/f.u. The value obtained for the uncorrected formation energy is -0.717 eV per atom. The density of states at the Fermi level is 0.861 states/eV per atom.

a b c (Å): 4.068 4.068 8.283
angles (deg): 90.00 90.00 90.00
Positions (direct):
Th 0.250 0.250 0.169
Th 0.750 0.750 0.831
Al 0.250 0.250 0.666
Al 0.750 0.750 0.334
Os 0.250 0.750 0.500
Os 0.750 0.250 0.500
N 0.250 0.250 0.893
N 0.750 0.750 0.107